## Tb3Ge2Ir (GGA-PBE)

Data for crystalline Tb3Ge2Ir at its relaxed geometry.

Geometry as POSCAR:
```
Tb3Ge2Ir
1.0
-2.689 -0.736 3.203
-5.962 -6.933 -6.599
6.660 -9.068 3.509
Tb Ge Ir
12 8 4
direct
0.250 0.371 0.054 Tb
0.750 0.629 0.946 Tb
0.750 0.871 0.446 Tb
0.250 0.129 0.554 Tb
0.250 0.701 0.225 Tb
0.750 0.299 0.775 Tb
0.750 0.201 0.275 Tb
0.250 0.799 0.725 Tb
0.250 0.446 0.379 Tb
0.750 0.554 0.621 Tb
0.750 0.946 0.121 Tb
0.250 0.054 0.879 Tb
0.250 0.689 0.491 Ge
0.750 0.311 0.509 Ge
0.750 0.189 0.009 Ge
0.250 0.811 0.991 Ge
0.250 0.997 0.311 Ge
0.750 0.003 0.689 Ge
0.750 0.497 0.189 Ge
0.250 0.503 0.811 Ge
0.250 0.129 0.130 Ir
0.750 0.871 0.870 Ir
0.750 0.629 0.370 Ir
0.250 0.371 0.630 Ir
```

Properties
Electronic total energy ... -6.2029 eV/atom
Space group ... Pnma (62)
Size of the total moment ... 0.000 μB/f.u.
D(E_F) ... 3.091 states/eV/f.u.